# PBE AcGeH, optimized geometry
# ρ: 7.0 g/cm3
# relative energy among the computed polymorphs: 40.5 kJ per mole of atoms
# crystal system: hexagonal
# Fermi-level density of states: 0.448 states/eV/atom
# spin magnetization: 0.00 μB/atom
# uncorrected energy: -4.330 eV per atom
data_AcGeH
_space_group_name_H-M_alt 'P -6 m 2'
_space_group_IT_number 187
_space_group_name_Hall 'P -6 2'
_cell_length_a 4.0561
_cell_length_b 4.0561
_cell_length_c 5.0142
_cell_angle_alpha 90.00
_cell_angle_beta 90.00
_cell_angle_gamma 120.00
loop_
_atom_site_label
_atom_site_fract_x
_atom_site_fract_y
_atom_site_fract_z
Ac1 0.0000 0.0000 0.0000
Ge1 0.6667 0.3333 0.5000
H1 0.3333 0.6667 0.0000